No. 1
Compound: NaVNi
Source: the Alexandria database
Functional: PBE
Structure: relaxed

Lattice parameters (Å, degrees): 2.655 4.304 10.148 81.59 89.90 90.00
Sites, in units of the cell vectors:
Na  0.247  0.297  0.357
Na  0.753  0.703  0.643
V  0.249  0.889  0.101
V  0.751  0.111  0.899
Ni  0.251  0.610  0.903
Ni  0.749  0.390  0.097

Output
The total DFT energy (no corrections) comes out at -30.66 eV/cell. The size of the total moment comes out at 0.00 μB/atom. As for the relative energy among the computed polymorphs: 198.0 meV per atom. For the formation energy, the calculation gives 29 kJ per mole of atoms.

---

No. 2
Compound: Na2VNi
Source: the Alexandria database
Functional: PBE
Structure: relaxed

Lattice parameters (Å, degrees): 4.826 4.826 4.826 60.00 60.00 60.00
Sites, in units of the cell vectors:
Na  0.250  0.250  0.250
Na  0.750  0.750  0.750
V  0.000  0.000  0.000
Ni  0.500  0.500  0.500

Output
The total DFT energy (no corrections) comes out at -13.33 eV/cell. The size of the total moment comes out at 0.89 μB/atom. For the formation energy, the calculation gives 102 kJ per mole of atoms.

---

No. 3
Compound: NaV3Ni
Source: the Alexandria database
Functional: PBE
Structure: relaxed

Lattice parameters (Å, degrees): 4.376 4.376 4.376 90.00 90.00 90.00
Sites, in units of the cell vectors:
Na  0.000  0.000  0.000
V  0.000  0.000  0.500
V  0.000  0.500  0.000
V  0.500  0.000  0.000
Ni  0.500  0.500  0.500

Output
The total DFT energy (no corrections) comes out at -22.67 eV/cell. The size of the total moment comes out at 0.60 μB/atom. As for the relative energy among the computed polymorphs: 1270.3 meV per atom. For the formation energy, the calculation gives 227 kJ per mole of atoms.

---

No. 4
Compound: NaVNi
Source: the Alexandria database
Functional: PBE
Structure: relaxed

Lattice parameters (Å, degrees): 2.947 2.947 11.844 90.00 90.00 90.00
Sites, in units of the cell vectors:
Na  0.250  0.250  0.140
Na  0.750  0.750  0.860
V  0.250  0.250  0.432
V  0.750  0.750  0.568
Ni  0.250  0.250  0.674
Ni  0.750  0.750  0.326

Output
The total DFT energy (no corrections) comes out at -31.84 eV/cell. The size of the total moment comes out at 0.00 μB/atom. As for the relative energy among the computed polymorphs: 0.0 meV per atom. For the formation energy, the calculation gives 10 kJ per mole of atoms.